Record 1
K2CaSnSe4 | the Alexandria database | PBE | relaxed; density of states at the Fermi level = 0.00 states/eV/f.u.; energy = -31.3 eV per cell; V = 30.6 A^3/atom; total moment = 0.00 μB per formula unit; uncorrected formation energy = -1141 meV per atom
1.0
7.326 0.000 0.000
3.663 5.778 0.000
3.663 0.000 5.778
Se K Ca Sn
4 2 1 1
Direct
0.893 0.000 0.648
0.540 0.000 0.352
0.460 0.648 0.000
0.107 0.352 0.000
0.500 0.500 0.500
0.000 0.500 0.500
0.000 0.000 0.000
0.500 0.000 0.000


Record 2
Re2IrC2 | the Alexandria database | PBE | relaxed; polymorph energy (0 for the lowest one) = 0.139 eV/atom; density of states at the Fermi level = 3.42 states/eV/f.u.; energy of formation = 85.8 kJ/mol of atoms; energy = -47.8 eV per cell; V = 12.0 A^3/atom; total moment = 0.00 μB per formula unit
1.0
-1.993 3.090 -0.543
-3.137 -1.956 0.385
-2.526 1.345 4.202
C Re Ir
2 2 1
Direct
0.250 0.750 0.500
0.750 0.250 0.500
0.643 0.643 0.714
0.357 0.357 0.286
0.000 0.000 0.000


Record 3
DyHo5Th | the Alexandria database | PBE | relaxed; polymorph energy (0 for the lowest one) = 0.852 eV/atom; density of states at the Fermi level = 8.85 states/eV/f.u.; energy of formation = 101.2 kJ/mol of atoms; energy = -27.6 eV per cell; V = 41.6 A^3/atom; total moment = 0.00 μB per formula unit
1.0
-0.042 3.656 5.098
-7.884 0.755 -0.607
3.251 -6.926 1.133
Th Ho Dy
1 5 1
Direct
0.696 0.500 0.000
0.694 0.743 0.486
0.418 0.822 0.000
0.418 0.178 0.000
0.179 0.500 0.000
0.208 0.257 0.514
0.917 0.000 0.000


Record 4
Ac2AlSiPt | the Alexandria database | PBE | relaxed; density of states at the Fermi level = 5.16 states/eV/f.u.; energy = -54.1 eV per cell; V = 29.1 A^3/atom; total moment = 0.00 μB per formula unit; uncorrected formation energy = -728 meV per atom
1.0
-1.435 -3.462 2.354
2.739 1.106 3.296
-10.619 8.469 5.982
Ac Al Si Pt
4 2 2 2
Direct
0.000 0.500 0.105
0.500 0.000 0.895
0.500 0.000 0.323
0.000 0.500 0.677
0.500 0.500 0.500
0.000 0.000 0.500
0.000 0.500 0.885
0.500 0.000 0.115
0.500 0.000 0.590
0.000 0.500 0.410


Record 5
Ac11Nd4Y9 | the Alexandria database | PBE | relaxed; density of states at the Fermi level = 35.77 states/eV/f.u.; energy of formation = 8.7 kJ/mol of atoms; energy = -120.3 eV per cell; V = 38.7 A^3/atom; total moment = 0.00 μB per formula unit
1.0
3.887 0.000 0.000
0.000 14.817 -6.355
0.000 -0.021 16.122
Y Ac Nd
9 11 4
Direct
0.500 0.068 0.213
0.500 0.500 0.500
0.500 0.932 0.787
0.500 0.787 0.932
0.500 0.632 0.167
0.500 0.213 0.068
0.500 0.368 0.833
0.500 0.833 0.368
0.500 0.167 0.632
0.000 0.841 0.159
0.000 0.000 0.000
0.000 0.405 0.043
0.000 0.957 0.595
0.000 0.159 0.841
0.000 0.368 0.632
0.000 0.709 0.709
0.000 0.043 0.405
0.000 0.632 0.368
0.000 0.595 0.957
0.000 0.291 0.291
0.500 0.758 0.556
0.500 0.242 0.444
0.500 0.556 0.758
0.500 0.444 0.242


Record 6
Rb3Pu2PdS6 | the Alexandria database | PBE | relaxed; density of states at the Fermi level = 17.66 states/eV/f.u.; energy = -75.7 eV per cell; V = 26.5 A^3/atom; total moment = 6.89 μB per formula unit; uncorrected formation energy = -1181 meV per atom
1.0
6.935 -0.007 0.005
-3.471 6.003 0.005
-1.149 -1.990 7.635
S Rb Pu Pd
6 3 2 1
Direct
0.937 0.598 0.811
0.402 0.063 0.189
0.598 0.937 0.811
0.726 0.726 0.186
0.063 0.402 0.189
0.274 0.274 0.814
0.839 0.161 0.500
0.161 0.839 0.500
0.500 0.500 0.500
0.667 0.333 0.000
0.333 0.667 0.000
0.000 0.000 0.000